LaBeTcW | OQMD via LeMat-Bulk | PBE | optimized geometry; E above lowest polymorph = 0.000 eV per atom
1.0
0.0000 3.2669 3.2669
3.2669 0.0000 3.2669
3.2669 3.2669 0.0000
La Be Tc W
1 1 1 1
Cartesian
0.0000 0.0000 0.0000 La
1.6335 1.6335 1.6335 Be
3.2669 3.2669 3.2669 Tc
4.9004 4.9004 4.9004 W


Tb3Ag4Sn2Ge2 | OQMD via LeMat-Bulk | PBE | optimized geometry; energy = -0.322 Ry/atom
1.0
-2.2444 3.5921 7.5665
2.2444 -3.5921 7.5665
2.2444 3.5921 -7.5665
Tb Ag Sn Ge
3 4 2 2
Cartesian
0.0000 0.0000 0.0000 Tb
2.2444 0.0000 5.7254 Tb
0.0000 3.5921 1.8411 Tb
2.2444 1.4173 -2.4282 Ag
2.2444 1.4173 2.4282 Ag
0.0000 2.1748 5.1383 Ag
0.0000 2.1748 9.9947 Ag
0.0000 0.0000 3.3049 Sn
0.0000 0.0000 11.8282 Sn
2.2444 2.2916 0.0000 Ge
0.0000 1.3006 7.5665 Ge


NaAlGePd | OQMD via LeMat-Bulk | PBE | optimized geometry; E above lowest polymorph = 0.127 eV per atom
1.0
0.0000 3.2660 3.2660
3.2660 0.0000 3.2660
3.2660 3.2660 0.0000
Na Al Ge Pd
1 1 1 1
Cartesian
0.0000 0.0000 0.0000 Na
4.8991 4.8991 4.8991 Al
3.2660 3.2660 3.2660 Ge
1.6330 1.6330 1.6330 Pd


CuBiP2Se6 | OQMD via LeMat-Bulk | PBE | optimized geometry; E above lowest polymorph = 0.000 eV per atom
1.0
3.3171 1.9151 14.1240
-3.3171 1.9151 14.1240
0.0000 -3.8302 14.1240
Cu Bi P Se
2 2 4 12
Cartesian
0.0000 0.0000 4.8978 Cu
0.0000 0.0000 37.4743 Cu
0.0000 0.0000 17.3373 Bi
0.0000 0.0000 25.0348 Bi
0.0000 0.0000 9.5237 P
0.0000 0.0000 11.8161 P
0.0000 0.0000 30.5560 P
0.0000 0.0000 32.8484 P
-0.7941 -1.9708 12.3958 Se
-1.1948 -1.8187 19.4619 Se
-2.1724 0.1254 22.9102 Se
-1.3097 1.6731 12.3958 Se
-2.1038 -0.2977 29.9762 Se
-0.9776 1.9440 19.4618 Se
0.9776 -1.9440 22.9102 Se
2.1038 0.2977 12.3959 Se
1.3097 -1.6731 29.9762 Se
2.1724 -0.1254 19.4618 Se
1.1948 1.8187 22.9102 Se
0.7941 1.9708 29.9762 Se


PmTa2O4 | OQMD via LeMat-Bulk | PBE | optimized geometry; energy = -0.656 Ry/atom
1.0
0.0000 4.5788 4.5788
4.5788 0.0000 4.5788
4.5788 4.5788 0.0000
Pm Ta O
2 4 8
Cartesian
1.1447 1.1447 1.1447 Pm
8.0129 8.0129 8.0129 Pm
4.5788 2.2894 2.2894 Ta
2.2894 4.5788 2.2894 Ta
2.2894 2.2894 4.5788 Ta
4.5788 4.5788 4.5788 Ta
2.4212 2.4212 2.4212 O
4.4470 4.4470 2.4212 O
4.4470 2.4212 4.4470 O
6.7364 4.7106 4.7106 O
2.4212 4.4470 4.4470 O
4.7106 6.7364 4.7106 O
4.7106 4.7106 6.7364 O
6.7364 6.7364 6.7364 O


Rb2ScCuI6 | OQMD via LeMat-Bulk | PBE | optimized geometry; energy = -0.234 Ry/atom
1.0
4.1056 2.3704 6.5741
-4.1056 2.3704 6.5741
0.0000 -4.7408 6.5741
Rb Sc Cu I
2 1 1 6
Cartesian
0.0000 0.0000 0.0000 Rb
0.0000 0.0000 9.8240 Rb
0.0000 0.0000 14.7788 Sc
0.0000 0.0000 4.9325 Cu
-1.8466 -3.2026 9.8567 I
-2.2582 0.8301 13.1151 I
-1.8502 3.2005 9.8567 I
0.4102 -2.3707 13.1151 I
3.6968 0.0021 9.8567 I
1.8479 1.5406 13.1151 I


AcErCo | OQMD via LeMat-Bulk | PBE | optimized geometry; DFT formation energy = 2.6 eV/f.u.
1.0
0.0000 3.4593 3.4593
3.4593 0.0000 3.4593
3.4593 3.4593 0.0000
Ac Er Co
1 1 1
Cartesian
0.0000 0.0000 0.0000 Ac
1.7297 1.7297 1.7297 Er
3.4593 3.4593 3.4593 Co


ThAg | OQMD via LeMat-Bulk | PBE | optimized geometry; DFT formation energy = 0.6 eV/f.u.
1.0
0.0000 3.0764 3.0764
3.0764 0.0000 3.0764
3.0764 3.0764 0.0000
Th Ag
1 1
Cartesian
0.0000 0.0000 0.0000 Th
3.0764 3.0764 3.0764 Ag